Here is a relaxed Li2YHg crystal from Alexandria. Energies are from GGA-PBE.

Computed properties:
As for the magnetic moment: 0.0 μB per formula unit. The volume comes out at 24.0 Å³ per atom. As for the calculated formation energy: -0.07 eV/atom. For the density of states at the Fermi level, the calculation gives 3.24 states/eV/f.u. For the relative energy among the computed polymorphs, the calculation gives 177 meV per atom. The raw total energy comes out at -2.716 eV/atom. Its space group is R3m (160).

Unit cell a=8.056 b=8.056 c=8.056 alpha=27.16 beta=27.16 gamma=27.16
Sites, in units of the cell vectors:
Hg: 0.734 0.734 0.734
Li: 0.002 0.002 0.002
Li: 0.268 0.268 0.268
Y: 0.496 0.496 0.496